DFT (PBE) results for a geometry-optimized ZnSi2Au structure.

abc: 3.014 3.014 9.185
angles: 90.00 90.00 125.93
Element x y z (fractional)
1 Si 0.000 0.000 0.003
2 Au 0.500 0.500 0.750
3 Zn 0.500 0.500 0.250
4 Si 0.000 0.000 0.497

Summary:
N(E_F) = 0.4305 states/eV per atom
SG = Cmmm, No. 65
Energy relative to the elements, uncorrected = 353.2 meV per atom
Total magnetic moment = 0.0 μB per formula unit

DFT (PBE) results for a geometry-optimized Zn3SiAu structure.

abc: 4.706 4.706 4.706
angles: 90.00 90.00 90.00
Element x y z (fractional)
1 Zn 0.000 0.500 0.000
2 Si 0.000 0.000 0.000
3 Au 0.500 0.500 0.500
4 Zn 0.500 0.000 0.000
5 Zn 0.000 0.000 0.500

Summary:
N(E_F) = 0.4377 states/eV per atom
Energy above the most stable polymorph in this dataset = 0.000 eV per atom
SG = Pm-3m, No. 221
Energy relative to the elements, uncorrected = 404.7 meV per atom
Total magnetic moment = 0.0 μB per formula unit

DFT (PBE) results for a geometry-optimized ZnSi2Au structure.

abc: 9.808 9.808 9.808
angles: 16.39 16.39 16.39
Element x y z (fractional)
1 Au 0.750 0.750 0.750
2 Si 0.500 0.500 0.500
3 Si 0.000 0.000 0.000
4 Zn 0.250 0.250 0.250

Summary:
N(E_F) = 0.1466 states/eV per atom
SG = R-3m, No. 166
Energy relative to the elements, uncorrected = 289.1 meV per atom
Total magnetic moment = 0.0 μB per formula unit

What did the second record say?
DFT (PBE) results for a geometry-optimized Zn3SiAu structure.

abc: 4.706 4.706 4.706
angles: 90.00 90.00 90.00
Element x y z (fractional)
1 Zn 0.000 0.500 0.000
2 Si 0.000 0.000 0.000
3 Au 0.500 0.500 0.500
4 Zn 0.500 0.000 0.000
5 Zn 0.000 0.000 0.500

Summary:
N(E_F) = 0.4377 states/eV per atom
Energy above the most stable polymorph in this dataset = 0.000 eV per atom
SG = Pm-3m, No. 221
Energy relative to the elements, uncorrected = 404.7 meV per atom
Total magnetic moment = 0.0 μB per formula unit

> Look up the total magnetic moment of the third one.

0.0 μB per formula unit